No. 1
The following is a PBE-GGA calculation of an optimized crystal structure of PmNdSnTe, from Alexandria via LeMat-Bulk.

Results
* formation energy (no corrections): -4.47 eV per formula unit
* offset from the most stable computed form: 0 meV/atom

abc: 4.5004 4.5004 22.2505
angles: 90.00 90.00 120.00
Closest atoms and distances in Å follow each position.
Space group R3m (No. 160, hexagonal axes)
Symmetry-distinct sites (fractional):
Pm 0.0000 0.0000 0.0000 x3  3 Sn 3.15, 3 Te 3.22
Nd 0.0000 0.0000 0.4939 x3  3 Sn 3.16, 3 Te 3.24
Sn 0.0000 0.0000 0.7463 x3  3 Pm 3.15, 3 Nd 3.16
Te 0.0000 0.0000 0.2477 x3  3 Pm 3.22, 3 Nd 3.24

No. 2
The following is a PBE-GGA calculation of an optimized crystal structure of MnFe3Pd12, from Alexandria via LeMat-Bulk.

Results
* energy relative to the elements: -0.1316 eV per atom

abc: 3.9024 3.9024 15.5769
angles: 90.00 90.00 90.00
Closest atoms and distances in Å follow each position.
Space group P4/mmm (No. 123)
Symmetry-distinct sites (fractional):
Mn 0.0000 0.0000 0.0000 x1  12 Pd 2.76-2.79
Fe 0.0000 0.0000 0.2498 x2  12 Pd 2.72-2.77
Fe 0.0000 0.0000 0.5000 x1  12 Pd 2.75-2.76
Pd 0.0000 0.5000 0.1278 x4  2 Fe 2.72, 8 Pd 2.75-2.79, 2 Mn 2.79
Pd 0.0000 0.5000 0.3759 x4  8 Pd 2.75-2.76, 4 Fe 2.75-2.77
Pd 0.5000 0.5000 0.0000 x1  4 Mn 2.76, 8 Pd 2.79
Pd 0.5000 0.5000 0.2518 x2  8 Pd 2.75, 4 Fe 2.76
Pd 0.5000 0.5000 0.5000 x1  8 Pd 2.75, 4 Fe 2.76

No. 3
The following is a PBE-GGA calculation of an optimized crystal structure of Tc2AgRu, from Alexandria via LeMat-Bulk.

Results
* offset from the most stable computed form: 284 meV/atom
* energy relative to the elements: 0.5177 eV per atom

abc: 2.8075 4.6781 9.5128
angles: 90.00 90.00 90.00
Closest atoms and distances in Å follow each position.
Space group Imm2 (No. 44)
Symmetry-distinct sites (fractional):
Tc 0.0000 0.0000 0.0000 x2  4 Tc 2.56-2.81, 4 Ru 2.77
Tc 0.0000 0.5000 0.2746 x2  2 Ru 2.53, 4 Tc 2.56-2.81, 4 Ag 2.73
Ag 0.0000 0.5000 0.7810 x2  6 Tc 2.73-3.02, 2 Ag 2.81, 2 Ru 2.94
Ru 0.0000 0.0000 0.5529 x2  6 Tc 2.53-2.77, 2 Ru 2.81

No. 4
The following is a PBE-GGA calculation of an optimized crystal structure of Ce4DyPa3P8, from Alexandria via LeMat-Bulk.

Results
* energy relative to the elements: -1.4508 eV per atom

abc: 8.0411 8.0411 19.7697
angles: 90.00 90.00 120.00
Closest atoms and distances in Å follow each position.
Space group R-3m (No. 166, hexagonal axes)
Symmetry-distinct sites (fractional):
Ce 0.0000 0.0000 0.0000 x3  6 P 2.87
Ce 0.0000 0.5000 0.0000 x9  6 P 2.88-2.89
Dy 0.0000 0.0000 0.5000 x3  6 P 2.83
Pa 0.0000 0.5000 0.5000 x9  6 P 2.81
P 0.0000 0.0000 0.2470 x6  3 Pa 2.81, 3 Ce 2.88
P 0.0024 0.5012 0.7529 x18  2 Pa 2.81, 1 Dy 2.83, 3 Ce 2.87-2.89

No. 5
The following is a PBE-GGA calculation of an optimized crystal structure of MgAu, from Alexandria via LeMat-Bulk.

Results
* energy relative to the elements: -0.3905 eV per atom

abc: 3.6421 3.6421 7.1896
angles: 90.00 90.00 120.00
Closest atoms and distances in Å follow each position.
Space group P6_3/mmc (No. 194)
Symmetry-distinct sites (fractional):
Mg 0.0000 0.0000 0.0000 x2  6 Au 2.77
Au 0.3333 0.6667 0.2500 x2  6 Mg 2.77

No. 6
The following is a PBE-GGA calculation of an optimized crystal structure of Mg3TcH, from Alexandria via LeMat-Bulk.

Results
* offset from the most stable computed form: 0 meV/atom

abc: 4.1559 4.1559 4.1559
angles: 90.00 90.00 90.00
Closest atoms and distances in Å follow each position.
Space group Pm-3m (No. 221)
Symmetry-distinct sites (fractional):
Mg 0.0000 0.0000 0.5000 x3  2 H 2.08
Tc 0.5000 0.5000 0.5000 x1  12 Mg 2.94
H 0.0000 0.0000 0.0000 x1  6 Mg 2.08

no.,calculated total energy (eV per atom)
1,-5.283
2,-6.186
3,-7.697
4,-7.707
5,-2.826
6,-3.540